1.
## La3PrSn2 (PBE)

Data for a relaxed La3PrSn2 crystal.

Cell and atoms, written as POSCAR:
```
La3PrSn2
1.0
3.407 0.000 0.000
0.000 5.387 0.000
0.000 0.000 9.640
La Pr Sn
3 1 2
Direct
0.000 0.000 0.000 La
0.000 0.000 0.319 La
0.000 0.500 0.827 La
0.000 0.500 0.501 Pr
0.500 0.000 0.659 Sn
0.500 0.500 0.163 Sn
```

Properties
* density: 7462 kg/m³
* space-group type: Pmm2
* magnetization: 0.0 μB per cell
* DOS(E_F): 8.3 states/eV per cell


2.
## La3PrSn2 (PBE)

Data for a relaxed La3PrSn2 crystal.

Cell and atoms, written as POSCAR:
```
La3PrSn2
1.0
9.453 -2.369 0.000
9.453 2.369 0.000
-4.426 0.000 9.097
La Pr Sn
6 2 4
Direct
0.054 0.054 0.191 La
0.308 0.308 0.607 La
0.350 0.350 0.024 La
0.650 0.650 0.976 La
0.692 0.692 0.393 La
0.946 0.946 0.809 La
0.114 0.114 0.626 Pr
0.886 0.886 0.374 Pr
0.245 0.245 0.222 Sn
0.494 0.494 0.641 Sn
0.506 0.506 0.359 Sn
0.755 0.755 0.778 Sn
```

Properties
* density: 6481 kg/m³
* space-group type: C2/m
* magnetization: 1.4 μB per cell
* DOS(E_F): 13.0 states/eV per cell


Which of them is least stable? Easy: 1.


1.
## SrLaPr (PBE)

Data for a relaxed SrLaPr crystal.

Cell and atoms, written as POSCAR:
```
SrLaPr
1.0
3.866 0.000 0.000
-1.933 3.348 0.000
0.000 0.000 9.612
Sr La Pr
1 1 1
Direct
0.000 0.000 0.000 Sr
0.333 0.667 0.645 La
0.667 0.333 0.347 Pr
```

Properties
* density: 4905 kg/m³
* space-group type: P3m1
* magnetization: 0.0 μB per cell
* DOS(E_F): 4.0 states/eV per cell


2.
## SrLaPr (PBE)

Data for a relaxed SrLaPr crystal.

Cell and atoms, written as POSCAR:
```
SrLaPr
1.0
4.353 0.000 0.000
0.000 4.353 0.000
0.000 0.000 13.344
Sr La Pr
2 2 2
Direct
0.250 0.250 0.110 Sr
0.750 0.750 0.890 Sr
0.250 0.250 0.439 La
0.750 0.750 0.561 La
0.250 0.250 0.704 Pr
0.750 0.750 0.296 Pr
```

Properties
* density: 4825 kg/m³
* space-group type: P4/nmm
* magnetization: 0.0 μB per cell
* DOS(E_F): 10.2 states/eV per cell


3.
## SrLaPr (PBE)

Data for a relaxed SrLaPr crystal.

Cell and atoms, written as POSCAR:
```
SrLaPr
1.0
5.523 0.000 0.000
0.000 16.272 0.000
0.000 0.000 5.445
Sr La Pr
4 4 4
Direct
0.000 0.086 0.250 Sr
0.000 0.914 0.750 Sr
0.500 0.414 0.750 Sr
0.500 0.586 0.250 Sr
0.000 0.250 0.750 La
0.000 0.750 0.250 La
0.500 0.250 0.250 La
0.500 0.750 0.750 La
0.000 0.409 0.250 Pr
0.000 0.591 0.750 Pr
0.500 0.091 0.750 Pr
0.500 0.909 0.250 Pr
```

Properties
* density: 4987 kg/m³
* space-group type: Cmcm
* magnetization: 0.0 μB per cell
* DOS(E_F): 23.1 states/eV per cell


Which of them is least stable? Easy: 3.


1.
## LaTb4Pr5 (PBE)

Data for a relaxed LaTb4Pr5 crystal.

Cell and atoms, written as POSCAR:
```
LaTb4Pr5
1.0
8.698 -1.831 0.000
8.698 1.831 0.000
-0.938 0.000 11.210
La Tb Pr
1 4 5
Direct
0.000 0.000 0.000 La
0.323 0.323 0.938 Tb
0.463 0.463 0.746 Tb
0.537 0.537 0.254 Tb
0.677 0.677 0.062 Tb
0.000 0.000 0.500 Pr
0.141 0.141 0.768 Pr
0.200 0.200 0.368 Pr
0.800 0.800 0.632 Pr
0.859 0.859 0.232 Pr
```

Properties
* density: 6879 kg/m³
* space-group type: C2/m
* magnetization: 0.0 μB per cell
* DOS(E_F): 14.1 states/eV per cell


2.
## LaTb4Pr5 (PBE)

Data for a relaxed LaTb4Pr5 crystal.

Cell and atoms, written as POSCAR:
```
LaTb4Pr5
1.0
3.675 0.000 0.000
0.000 3.675 0.000
0.000 0.000 25.688
La Tb Pr
1 4 5
Direct
0.000 0.000 0.000 La
0.000 0.000 0.203 Tb
0.000 0.000 0.401 Tb
0.000 0.000 0.599 Tb
0.000 0.000 0.797 Tb
0.500 0.500 0.104 Pr
0.500 0.500 0.302 Pr
0.500 0.500 0.500 Pr
0.500 0.500 0.698 Pr
0.500 0.500 0.896 Pr
```

Properties
* density: 7080 kg/m³
* space-group type: P4/mmm
* magnetization: 0.0 μB per cell
* DOS(E_F): 15.2 states/eV per cell


Which of them is least stable? Easy: 1.